Here is Ce6AsP3Se2 after structural relaxation from the Alexandria database. Energies are from PBE.

Output
The calculation puts the total magnetic moment at 9.2 Bohr magnetons per cell. For the raw formation energy, the calculation gives -1621 meV/atom. The density of states at the Fermi level is 62.8 states/eV per cell.

Unit cell a=18.137 b=4.143 c=8.327 alpha=90.00 beta=103.68 gamma=90.00
Space group C2/m (No. 12)
Inequivalent atoms, fractional coordinates:
Ce 0.003 0.000 0.245 x4
Ce 0.163 0.500 0.092 x4
Ce 0.169 0.500 0.575 x4
As 0.000 0.500 0.500 x2
P 0.000 0.500 0.000 x2
P 0.167 0.000 0.333 x4
Se 0.167 0.000 0.834 x4